{"formula": "Na5Hg12Pd2", "functional": "GGA-PBE", "state": "optimized geometry", "volume_a3_per_cell": 466.8, "total_magnetization_mub_per_fu": 0.00, "e_form_kj_per_mol_atoms": -16.59, "cell": [[-7.022, 1.416, 0.997], [1.464, 0.803, 9.173], [1.872, 7.187, 3.811]], "species": ["Hg", "Hg", "Hg", "Hg", "Hg", "Hg", "Hg", "Pd", "Hg", "Na", "Na", "Hg", "Na", "Hg", "Na", "Hg", "Hg", "Pd", "Na"], "frac_coords": [[0.256, 0.648, 0.292], [0.929, 0.897, 0.206], [0.744, 0.940, 0.708], [0.317, 0.384, 0.742], [0.683, 0.616, 0.258], [0.711, 0.518, 0.963], [0.256, 0.060, 0.292], [0.000, 0.284, 0.000], [0.289, 0.482, 0.037], [0.973, 0.322, 0.355], [0.500, 0.000, 0.000], [0.683, 0.126, 0.258], [0.542, 0.735, 0.530], [0.744, 0.352, 0.708], [0.458, 0.265, 0.470], [0.317, 0.874, 0.742], [0.071, 0.103, 0.794], [0.000, 0.716, 0.000], [0.027, 0.678, 0.645]]}